An optimized crystal structure of MnAlRu2C, computed with PBE.

a b c (Å): 4.051 4.051 3.792
angles (deg): 90.00 90.00 90.00
Space group P4/mmm (No. 123)
Symmetry-distinct sites (fractional):
Mn: 0.000 0.000 0.000
Al: 0.500 0.500 0.000
Ru: 0.000 0.500 0.500
C: 0.000 0.000 0.500

Total energy, eV per atom: -8.303
Crystal system: tetragonal
Volume, Å³/atom: 12.45

An optimized crystal structure of Pm12HAu6, computed with PBE.

a b c (Å): 11.8675 11.8675 13.1590
angles (deg): 90.00 90.00 120.00
Space group R-3 (No. 148, hexagonal axes)
Symmetry-distinct sites (fractional):
Pm: 0.0294 0.1905 0.3845
Pm: 0.0333 0.8411 0.8862
H: 0.0000 0.0000 0.5000
Au: 0.0003 0.3914 0.2491

Total energy, eV per atom: -4.677
Crystal system: trigonal
Volume, Å³/atom: 28.16

An optimized crystal structure of YEr10Sc2, computed with PBE.

a b c (Å): 6.419 15.112 16.900
angles (deg): 90.00 90.00 90.00
Space group Fmmm (No. 69)
Symmetry-distinct sites (fractional):
Y: 0.000 0.000 0.000
Er: 0.000 0.105 0.401
Er: 0.000 0.180 0.161
Er: 0.250 0.000 0.250
Sc: 0.250 0.250 0.000

Total energy, eV per atom: -4.730
Crystal system: orthorhombic
Volume, Å³/atom: 31.53

An optimized crystal structure of Nb3CdS, computed with PBE.

a b c (Å): 5.014 5.014 5.014
angles (deg): 90.00 90.00 90.00
Space group Pm-3m (No. 221)
Symmetry-distinct sites (fractional):
Nb: 0.000 0.000 0.500
Cd: 0.000 0.000 0.000
S: 0.500 0.500 0.500

Total energy, eV per atom: -4.974
Crystal system: cubic
Volume, Å³/atom: 25.21
Formation energy from raw total energies, eV per atom: 2.08

> Look up the total energy of the third one.

-4.730 eV per atom

Repeat the second record exactly.
An optimized crystal structure of Pm12HAu6, computed with PBE.

a b c (Å): 11.8675 11.8675 13.1590
angles (deg): 90.00 90.00 120.00
Space group R-3 (No. 148, hexagonal axes)
Symmetry-distinct sites (fractional):
Pm: 0.0294 0.1905 0.3845
Pm: 0.0333 0.8411 0.8862
H: 0.0000 0.0000 0.5000
Au: 0.0003 0.3914 0.2491

Total energy, eV per atom: -4.677
Crystal system: trigonal
Volume, Å³/atom: 28.16

> What is the volume in the second record?

28.16 Å³/atom

Repeat the fourth record exactly.
An optimized crystal structure of Nb3CdS, computed with PBE.

a b c (Å): 5.014 5.014 5.014
angles (deg): 90.00 90.00 90.00
Space group Pm-3m (No. 221)
Symmetry-distinct sites (fractional):
Nb: 0.000 0.000 0.500
Cd: 0.000 0.000 0.000
S: 0.500 0.500 0.500

Total energy, eV per atom: -4.974
Crystal system: cubic
Volume, Å³/atom: 25.21
Formation energy from raw total energies, eV per atom: 2.08